[1]
Below is a geometry-optimized MgBe2Sb structure, with properties calculated at the PBE level. Values from VASP.

total magnetic moment: 0.00 μB/f.u.
formation energy (no corrections): 0.36 eV/atom
ΔE to the lowest computed polymorph: 167 meV per atom

```
&SYSTEM
  ibrav = 0, nat = 4, ntyp = 3
/
ATOMIC_SPECIES
Mg 24.30 Mg.upf
Be 9.01 Be.upf
Sb 121.76 Sb.upf
ATOMIC_POSITIONS angstrom
Mg 0.000 0.000 0.000
Be 1.560 1.965 4.502
Be 1.577 1.965 1.064
Sb 1.568 0.000 2.783
CELL_PARAMETERS angstrom
3.155 0.000 0.000
0.000 3.930 0.000
-0.019 0.000 5.565
```

***

[2]
Below is a geometry-optimized MgBeSb structure, with properties calculated at the PBE level. Values from VASP.

total magnetic moment: 0.00 μB/f.u.
formation energy (no corrections): 0.03 eV/atom
ΔE to the lowest computed polymorph: 67 meV per atom

```
&SYSTEM
  ibrav = 0, nat = 12, ntyp = 3
/
ATOMIC_SPECIES
Mg 24.30 Mg.upf
Be 9.01 Be.upf
Sb 121.76 Sb.upf
ATOMIC_POSITIONS angstrom
Mg 0.000 0.000 0.000
Mg 2.959 2.263 0.632
Mg 7.154 2.263 0.000
Mg 10.113 0.000 0.632
Be 4.264 1.139 2.783
Be 4.264 3.387 2.783
Be 11.419 1.124 2.783
Be 11.419 3.402 2.783
Sb 1.982 0.000 2.364
Sb 5.727 0.000 1.024
Sb 9.136 2.263 2.364
Sb 12.882 2.263 1.024
CELL_PARAMETERS angstrom
14.309 0.000 0.000
0.000 4.526 0.000
-0.468 0.000 3.839
```

***

[3]
Below is a geometry-optimized MgBe2Sb structure, with properties calculated at the PBE level. Values from VASP.

total magnetic moment: 0.00 μB/f.u.
formation energy (no corrections): 0.50 eV/atom
ΔE to the lowest computed polymorph: 305 meV per atom

```
&SYSTEM
  ibrav = 0, nat = 4, ntyp = 3
/
ATOMIC_SPECIES
Mg 24.30 Mg.upf
Be 9.01 Be.upf
Sb 121.76 Sb.upf
ATOMIC_POSITIONS angstrom
Mg 0.000 0.000 0.000
Be 1.751 1.751 1.626
Be 1.751 1.751 3.936
Sb 0.000 0.000 2.781
CELL_PARAMETERS angstrom
3.503 0.000 0.000
0.000 3.503 0.000
0.000 0.000 5.562
```

***

[4]
Below is a geometry-optimized MgBeSb3 structure, with properties calculated at the PBE level. Values from VASP.

total magnetic moment: 0.00 μB/f.u.
formation energy (no corrections): 0.39 eV/atom
ΔE to the lowest computed polymorph: 0 meV per atom

```
&SYSTEM
  ibrav = 0, nat = 5, ntyp = 3
/
ATOMIC_SPECIES
Mg 24.30 Mg.upf
Be 9.01 Be.upf
Sb 121.76 Sb.upf
ATOMIC_POSITIONS angstrom
Mg 0.000 0.000 0.000
Be 2.493 2.493 2.493
Sb 0.000 2.493 2.493
Sb 2.493 0.000 2.493
Sb 2.493 2.493 0.000
CELL_PARAMETERS angstrom
4.986 0.000 0.000
0.000 4.986 0.000
0.000 0.000 4.986
```

***

[5]
Below is a geometry-optimized MgBeSb structure, with properties calculated at the PBE level. Values from VASP.

total magnetic moment: 0.00 μB/f.u.
formation energy (no corrections): 0.02 eV/atom
ΔE to the lowest computed polymorph: 53 meV per atom

```
&SYSTEM
  ibrav = 0, nat = 12, ntyp = 3
/
ATOMIC_SPECIES
Mg 24.30 Mg.upf
Be 9.01 Be.upf
Sb 121.76 Sb.upf
ATOMIC_POSITIONS angstrom
Mg 0.000 0.000 0.000
Mg -0.029 0.000 4.030
Mg 3.529 2.055 0.000
Mg 3.500 2.055 4.030
Be -1.259 2.055 7.710
Be 1.163 2.055 1.311
Be 2.270 0.000 7.710
Be 4.692 0.000 1.311
Sb -0.087 0.000 6.825
Sb 2.332 0.000 2.285
Sb 3.441 2.055 6.825
Sb 5.861 2.055 2.285
CELL_PARAMETERS angstrom
7.058 0.000 0.000
0.000 4.110 0.000
-2.437 0.000 8.802
```

***

[6]
Below is a geometry-optimized Mg2BeSb structure, with properties calculated at the PBE level. Values from VASP.

total magnetic moment: 0.00 μB/f.u.
formation energy (no corrections): 0.19 eV/atom
ΔE to the lowest computed polymorph: 147 meV per atom

```
&SYSTEM
  ibrav = 0, nat = 8, ntyp = 3
/
ATOMIC_SPECIES
Mg 24.30 Mg.upf
Be 9.01 Be.upf
Sb 121.76 Sb.upf
ATOMIC_POSITIONS angstrom
Mg 0.000 0.000 0.000
Mg 0.000 2.164 2.155
Mg 1.948 0.000 6.978
Mg 1.948 2.164 4.823
Be 0.000 0.000 4.419
Be 1.948 2.164 9.242
Sb 0.000 2.164 7.505
Sb 1.948 0.000 2.682
CELL_PARAMETERS angstrom
3.897 0.000 0.000
0.000 4.328 0.000
0.000 0.000 9.646
```

***

[7]
Below is a geometry-optimized MgBe2Sb structure, with properties calculated at the PBE level. Values from VASP.

total magnetic moment: 0.00 μB/f.u.
formation energy (no corrections): 0.58 eV/atom
ΔE to the lowest computed polymorph: 387 meV per atom

```
&SYSTEM
  ibrav = 0, nat = 16, ntyp = 3
/
ATOMIC_SPECIES
Mg 24.30 Mg.upf
Be 9.01 Be.upf
Sb 121.76 Sb.upf
ATOMIC_POSITIONS angstrom
Mg 0.000 0.000 0.000
Mg 0.000 3.217 3.217
Mg 3.217 0.000 3.217
Mg 3.217 3.217 0.000
Be 1.609 1.609 1.609
Be 1.609 1.609 4.826
Be 1.609 4.826 1.609
Be 1.609 4.826 4.826
Be 4.826 1.609 1.609
Be 4.826 1.609 4.826
Be 4.826 4.826 1.609
Be 4.826 4.826 4.826
Sb 0.000 0.000 3.217
Sb 0.000 3.217 0.000
Sb 3.217 0.000 0.000
Sb 3.217 3.217 3.217
CELL_PARAMETERS angstrom
6.435 0.000 0.000
0.000 6.435 0.000
0.000 0.000 6.435
```

***

[8]
Below is a geometry-optimized MgBe2Sb structure, with properties calculated at the PBE level. Values from VASP.

total magnetic moment: 0.00 μB/f.u.
formation energy (no corrections): 0.24 eV/atom
ΔE to the lowest computed polymorph: 48 meV per atom

```
&SYSTEM
  ibrav = 0, nat = 4, ntyp = 3
/
ATOMIC_SPECIES
Mg 24.30 Mg.upf
Be 9.01 Be.upf
Sb 121.76 Sb.upf
ATOMIC_POSITIONS angstrom
Mg 0.000 0.000 0.000
Be 0.014 0.000 2.645
Be 0.006 1.899 3.734
Sb 1.865 1.899 1.940
CELL_PARAMETERS angstrom
3.735 0.000 0.000
0.000 3.798 0.000
-1.845 0.000 4.545
```